## BePW3 (SCAN)

Data for a PBEsol-optimized structure of BePW3.

a = 4.164 Å, b = 4.164 Å, c = 4.164 Å
α = 90.00°, β = 90.00°, γ = 90.00°
Positions (direct):
Be (0.000, 0.000, 0.000)
P (0.500, 0.500, 0.500)
W (0.000, 0.000, 0.500)
W (0.000, 0.500, 0.000)
W (0.500, 0.000, 0.000)

Calculated values
SG = Pm-3m (221)


## BePW2 (SCAN)

Data for a PBEsol-optimized structure of BePW2.

a = 4.147 Å, b = 4.147 Å, c = 4.147 Å
α = 60.00°, β = 60.00°, γ = 60.00°
Positions (direct):
Be (0.000, 0.000, 0.000)
P (0.500, 0.500, 0.500)
W (0.250, 0.250, 0.250)
W (0.750, 0.750, 0.750)

Calculated values
SG = Fm-3m (225)
relative energy among the computed polymorphs = 0 meV per atom


## BePW2 (SCAN)

Data for a PBEsol-optimized structure of BePW2.

a = 3.211 Å, b = 3.743 Å, c = 4.376 Å
α = 90.00°, β = 90.00°, γ = 90.00°
Positions (direct):
Be (0.000, 0.000, 0.000)
P (0.500, 0.000, 0.500)
W (0.000, 0.500, 0.500)
W (0.500, 0.500, 0.000)

Calculated values
SG = Pmmm (47)
relative energy among the computed polymorphs = 24 meV per atom


## YBeP3 (SCAN)

Data for a PBEsol-optimized structure of YBeP3.

a = 5.120 Å, b = 5.120 Å, c = 5.120 Å
α = 90.00°, β = 90.00°, γ = 90.00°
Positions (direct):
Y (0.000, 0.000, 0.000)
Be (0.500, 0.500, 0.500)
P (0.000, 0.000, 0.500)
P (0.000, 0.500, 0.000)
P (0.500, 0.000, 0.000)

Calculated values
SG = Pm-3m (221)


## Y2BeP (SCAN)

Data for a PBEsol-optimized structure of Y2BeP.

a = 3.374 Å, b = 3.374 Å, c = 7.757 Å
α = 90.00°, β = 90.00°, γ = 108.97°
Positions (direct):
Y (0.000, 0.000, 0.000)
Y (0.500, 0.500, 0.376)
Be (0.000, 0.000, 0.635)
P (0.500, 0.500, 0.752)

Calculated values
SG = Cmm2 (35)
relative energy among the computed polymorphs = 371 meV per atom


## YBe4P (SCAN)

Data for a PBEsol-optimized structure of YBe4P.

a = 4.757 Å, b = 4.757 Å, c = 4.757 Å
α = 60.00°, β = 60.00°, γ = 60.00°
Positions (direct):
Y (0.000, 0.000, 0.000)
Be (0.123, 0.626, 0.626)
Be (0.626, 0.123, 0.626)
Be (0.626, 0.626, 0.123)
Be (0.626, 0.626, 0.626)
P (0.250, 0.250, 0.250)

Calculated values
SG = F-43m (216)


## Y2BeP (SCAN)

Data for a PBEsol-optimized structure of Y2BeP.

a = 4.656 Å, b = 4.656 Å, c = 3.549 Å
α = 90.00°, β = 90.00°, γ = 90.00°
Positions (direct):
Y (0.000, 0.500, 0.000)
Y (0.500, 0.000, 0.000)
Be (0.000, 0.000, 0.500)
P (0.500, 0.500, 0.500)

Calculated values
SG = P4/mmm (123)
relative energy among the computed polymorphs = 169 meV per atom


## Y2BeP (SCAN)

Data for a PBEsol-optimized structure of Y2BeP.

a = 4.939 Å, b = 4.939 Å, c = 4.939 Å
α = 125.80°, β = 125.80°, γ = 80.21°
Positions (direct):
Y (0.250, 0.750, 0.500)
Y (0.750, 0.250, 0.500)
Be (0.000, 0.000, 0.000)
P (0.500, 0.500, 0.000)

Calculated values
SG = I4/mmm (139)
relative energy among the computed polymorphs = 245 meV per atom


## Y2BeP (SCAN)

Data for a PBEsol-optimized structure of Y2BeP.

a = 7.135 Å, b = 7.135 Å, c = 7.135 Å
α = 31.62°, β = 31.62°, γ = 31.62°
Positions (direct):
Y (0.244, 0.244, 0.244)
Y (0.756, 0.756, 0.756)
Be (0.000, 0.000, 0.000)
P (0.500, 0.500, 0.500)

Calculated values
SG = R-3m (166)
relative energy among the computed polymorphs = 0 meV per atom


## Y4BeP (SCAN)

Data for a PBEsol-optimized structure of Y4BeP.

a = 5.963 Å, b = 5.963 Å, c = 5.963 Å
α = 60.00°, β = 60.00°, γ = 60.00°
Positions (direct):
Y (0.125, 0.125, 0.125)
Y (0.125, 0.125, 0.625)
Y (0.125, 0.625, 0.125)
Y (0.625, 0.125, 0.125)
Be (0.750, 0.750, 0.750)
P (0.500, 0.500, 0.500)

Calculated values
SG = F-43m (216)


## BeZnP2 (SCAN)

Data for a PBEsol-optimized structure of BeZnP2.

a = 3.286 Å, b = 3.286 Å, c = 4.951 Å
α = 90.00°, β = 90.00°, γ = 90.00°
Positions (direct):
Be (0.000, 0.000, 0.000)
Zn (0.000, 0.000, 0.500)
P (0.500, 0.500, 0.216)
P (0.500, 0.500, 0.784)

Calculated values
SG = P4/mmm (123)
relative energy among the computed polymorphs = 390 meV per atom


## BeZnP2 (SCAN)

Data for a PBEsol-optimized structure of BeZnP2.

a = 4.210 Å, b = 4.210 Å, c = 4.210 Å
α = 60.00°, β = 60.00°, γ = 60.00°
Positions (direct):
Be (0.000, 0.000, 0.000)
Zn (0.250, 0.250, 0.250)
P (0.500, 0.500, 0.500)
P (0.750, 0.750, 0.750)

Calculated values
SG = F-43m (216)
relative energy among the computed polymorphs = 686 meV per atom


Across the entries above, calculated formation energy takes the values 6.33; 1.10; 1.20; 6.14; -1.33; 1.79; -2.13; -1.83; -2.81; 4.61; 1.54; 2.73 eV/f.u., respectively.